## Ca2CrH (PBE-GGA)

Data for a relaxed Ca2CrH crystal.

For the distance to the lowest polymorph of the same formula, the calculation gives 0.0 meV/atom. Its density of states at the Fermi level is 11.93 states/eV/cell. For the total energy, the calculation gives -3.60 eV/atom.

It has space group Fm-3m (No. 225), with a = 7.388 Å, b = 7.388 Å, c = 7.388 Å, α = 90.00°, β = 90.00° and γ = 90.00°. Symmetry generates all atoms from Ca at (0.250, 0.250, 0.250), Cr at (0.000, 0.000, 0.000) and H at (0.000, 0.000, 0.500).